{"formula": "Tb3PI7", "functional": "GGA-PBE", "state": "relaxed", "cell": [[8.800, 0.000, 0.000], [-4.400, 7.621, 0.000], [0.000, 0.000, 7.533]], "species": ["Tb", "Tb", "Tb", "P", "I", "I", "I", "I", "I", "I", "I"], "frac_coords": [[0.011, 0.505, 0.000], [0.495, 0.505, 0.000], [0.495, 0.989, 0.000], [0.333, 0.667, 0.159], [0.170, 0.341, 0.757], [0.170, 0.830, 0.757], [0.340, 0.170, 0.224], [0.659, 0.830, 0.757], [0.667, 0.333, 0.753], [0.830, 0.170, 0.224], [0.830, 0.660, 0.224]], "volume_a3_per_cell": 505, "e_form_raw_mev_per_atom": -1212, "spacegroup": "P3m1"}